# 1
GdDySi4Pd2 | PBE | optimized geometry

The calculated total energy is -47.866 eV/cell. The value obtained for the total magnetic moment is 0.01 μB/f.u.

Structure (extended XYZ):
```
8
Lattice="4.123 0.000 0.000 0.000 2.045 8.591 0.000 -2.045 8.591" Properties=species:S:1:pos:R:3 pbc="T T T"
Dy 0.000 0.000 6.860
Gd 2.061 0.000 10.321
Pd 0.000 0.000 2.981
Pd 2.061 0.000 14.205
Si 0.000 0.000 0.588
Si 2.061 0.000 4.286
Si 0.000 0.000 12.905
Si 2.061 0.000 16.584
```

=====

# 2
Gd3DyTm2Te2Pd | PBE | optimized geometry

The calculated total energy is -46.463 eV/cell. The value obtained for the total magnetic moment is 0.14 μB/f.u.

Structure (extended XYZ):
```
9
Lattice="-2.227 -2.233 -2.410 -5.923 -0.531 5.966 -0.182 6.261 -5.632" Properties=species:S:1:pos:R:3 pbc="T T T"
Dy -2.617 0.295 -1.123
Gd -2.392 -0.212 2.406
Gd -0.076 2.528 -2.271
Gd -3.652 3.427 0.200
Pd -6.063 5.690 0.332
Te -5.132 0.614 0.905
Te -3.208 2.890 -2.981
Tm -5.592 -1.511 3.299
Tm -1.258 3.617 -5.457
```

=====

# 3
PmGdDy | PBE | optimized geometry

The energy of formation from the pure elements comes out at 2.245 eV/f.u. The value obtained for the total magnetic moment is 0.02 μB/f.u.

Structure (extended XYZ):
```
3
Lattice="5.038 -2.137 -0.132 0.664 -5.420 -0.382 1.918 -2.203 -4.630" Properties=species:S:1:pos:R:3 pbc="T T T"
Dy 1.905 -2.440 -1.286
Gd 5.716 -7.321 -3.858
Pm 0.000 0.000 0.000
```

=====

# 4
PrGdDy | PBE | optimized geometry

The energy of formation from the pure elements comes out at 2.280 eV/f.u. The value obtained for the total magnetic moment is 0.02 μB/f.u.

Structure (extended XYZ):
```
3
Lattice="2.804 3.089 3.582 -2.428 4.307 2.408 -1.244 -0.184 5.353" Properties=species:S:1:pos:R:3 pbc="T T T"
Dy -0.217 1.803 2.836
Gd -0.651 5.409 8.507
Pr 0.000 0.000 0.000
```

=====

# 5
Pr3Gd2DyTe2Pt | PBE | optimized geometry

The calculated total energy is -49.178 eV/cell. The value obtained for the total magnetic moment is 0.01 μB/f.u.

Structure (extended XYZ):
```
9
Lattice="-3.497 -1.286 -1.677 -3.294 -1.224 7.807 -0.919 7.571 -3.890" Properties=species:S:1:pos:R:3 pbc="T T T"
Dy -3.201 4.822 2.976
Gd -0.796 -0.296 1.886
Gd -0.222 1.829 -0.940
Pr -3.703 -1.369 3.795
Pr -3.464 1.942 0.757
Pr -2.294 3.850 -3.147
Pt -5.949 5.687 3.068
Te -2.503 1.714 3.905
Te -1.713 4.638 0.015
```

=====

# 6
GdDy3Pt4 | PBE | optimized geometry

The energy of formation from the pure elements comes out at -10.233 eV/f.u. The value obtained for the total magnetic moment is 0.03 μB/f.u.

Structure (extended XYZ):
```
8
Lattice="5.578 0.000 0.000 0.000 4.512 0.000 -0.022 0.000 7.044" Properties=species:S:1:pos:R:3 pbc="T T T"
Dy 2.005 0.000 1.282
Dy 4.787 2.256 2.235
Dy 3.552 2.256 5.766
Gd 0.767 0.000 4.803
Pt 4.706 0.000 0.323
Pt 1.920 2.256 3.193
Pt 3.639 0.000 3.830
Pt 0.846 2.256 6.746
```

=====

# 7
Gd3Dy2ScTe2Pt | PBE | optimized geometry

The calculated total energy is -50.193 eV/cell. The value obtained for the total magnetic moment is 0.15 μB/f.u.

Structure (extended XYZ):
```
9
Lattice="3.983 0.000 0.000 0.000 7.164 4.169 0.000 -7.164 4.169" Properties=species:S:1:pos:R:3 pbc="T T T"
Dy 1.991 1.716 1.029
Dy 1.991 -1.716 1.029
Gd 0.000 0.000 3.422
Gd 0.000 2.835 6.682
Gd 0.000 -2.835 6.682
Pt 0.000 0.000 8.152
Sc 1.991 0.000 6.306
Te 1.991 2.367 4.195
Te 1.991 -2.367 4.195
```

=====

# 8
GdDy2Sn3Pt3 | PBE | optimized geometry

The calculated total energy is -53.894 eV/cell. The value obtained for the total magnetic moment is 0.00 μB/f.u.

Structure (extended XYZ):
```
9
Lattice="-2.305 -1.562 -2.919 5.122 -5.390 -1.160 -5.554 -1.078 4.962" Properties=species:S:1:pos:R:3 pbc="T T T"
Dy 2.080 -2.189 -0.471
Dy -2.255 -0.438 2.015
Gd -0.256 -3.837 2.256
Pt -0.001 -0.008 0.005
Pt 0.422 -4.735 -0.587
Pt -3.159 -3.288 1.467
Sn 2.648 -4.781 -2.319
Sn -1.264 -2.452 -0.477
Sn -5.273 -1.581 2.223
```

=====

# 9
TbGdDy2Pt4 | PBE | optimized geometry

The energy of formation from the pure elements comes out at -9.594 eV/f.u. The value obtained for the total magnetic moment is 0.00 μB/f.u.

Structure (extended XYZ):
```
8
Lattice="-4.598 0.090 -1.803 1.798 -0.207 -4.597 -0.226 -6.981 0.226" Properties=species:S:1:pos:R:3 pbc="T T T"
Dy 0.000 0.000 0.000
Dy -1.513 -3.549 -3.087
Gd -0.113 -3.491 0.113
Pt -2.356 -1.697 -0.845
Pt 0.843 -1.846 -2.242
Pt -2.469 -5.194 -0.732
Pt 0.730 -5.342 -2.129
Tb -1.400 -0.058 -3.200
```

=====

# 10
Gd3DyTm2Te2Pt | PBE | optimized geometry

The calculated total energy is -48.253 eV/cell. The value obtained for the total magnetic moment is 0.10 μB/f.u.

Structure (extended XYZ):
```
9
Lattice="3.987 0.000 0.000 0.000 7.287 4.169 0.000 -7.287 4.169" Properties=species:S:1:pos:R:3 pbc="T T T"
Dy 0.000 0.000 2.036
Gd 1.993 2.931 1.680
Gd 1.993 -2.931 1.680
Gd 1.993 0.000 5.004
Pt 1.993 0.000 8.272
Te 0.000 2.443 4.173
Te 0.000 -2.443 4.173
Tm 0.000 5.518 3.168
Tm 0.000 -5.518 3.168
```

=====

# 11
GdDyTl2Pt4 | PBE | optimized geometry

The calculated total energy is -44.177 eV/cell. The value obtained for the total magnetic moment is 0.01 μB/f.u.

Structure (extended XYZ):
```
8
Lattice="-2.846 3.594 0.726 -1.562 -3.797 -2.165 -2.426 -3.525 7.934" Properties=species:S:1:pos:R:3 pbc="T T T"
Dy 0.000 0.000 0.000
Gd -3.203 -3.096 2.766
Pt -2.364 -1.877 0.022
Pt -0.835 -1.214 2.732
Pt -1.590 -2.311 5.202
Pt -4.042 -4.315 5.510
Tl -3.023 0.251 1.741
Tl -4.239 -1.516 5.719
```

=====

# 12
GdDy2YPt4 | PBE | optimized geometry

The energy of formation from the pure elements comes out at -9.579 eV/f.u. The value obtained for the total magnetic moment is 0.01 μB/f.u.

Structure (extended XYZ):
```
8
Lattice="-3.090 1.423 3.564 -3.771 -1.979 -2.478 1.013 -6.056 3.296" Properties=species:S:1:pos:R:3 pbc="T T T"
Dy 0.000 0.000 0.000
Dy -2.924 -3.306 2.191
Gd 0.506 -3.028 1.648
Pt -1.292 -0.801 2.606
Pt -1.632 -2.503 -0.416
Pt -0.785 -3.831 4.255
Pt -1.126 -5.532 1.234
Y -3.430 -0.278 0.543
```

=====

# 13
GdDyPu | PBE | optimized geometry

The energy of formation from the pure elements comes out at 2.466 eV/f.u. The value obtained for the total magnetic moment is 6.67 μB/f.u.

Structure (extended XYZ):
```
3
Lattice="0.000 3.669 3.669 3.669 0.000 3.669 3.669 3.669 0.000" Properties=species:S:1:pos:R:3 pbc="T T T"
Dy 1.834 1.834 1.834
Gd 5.503 5.503 5.503
Pu 0.000 0.000 0.000
```

=====

# 14
RbGdDy | PBE | optimized geometry

The distance to the lowest polymorph of the same formula comes out at 0 meV per atom. The value obtained for the total magnetic moment is 1.10 μB/f.u.

Structure (extended XYZ):
```
3
Lattice="0.000 4.217 4.217 4.217 0.000 4.217 4.217 4.217 0.000" Properties=species:S:1:pos:R:3 pbc="T T T"
Dy 0.000 0.000 0.000
Gd 2.109 2.109 2.109
Rb 6.326 6.326 6.326
```

=====

# 15
GdDyS2 | PBE | optimized geometry

The calculated total energy is -25.537 eV/cell. The value obtained for the total magnetic moment is 0.00 μB/f.u.

Structure (extended XYZ):
```
4
Lattice="-0.506 -2.348 -3.101 3.439 -1.731 0.749 -2.571 -3.710 3.229" Properties=species:S:1:pos:R:3 pbc="T T T"
Dy 0.000 0.000 0.000
Gd 0.181 -3.894 0.438
S 1.466 -2.040 -1.176
S -1.285 -1.855 1.614
```

=====

# 16
Gd2DyS3 | PBE | optimized geometry

The calculated total energy is -38.377 eV/cell. The value obtained for the total magnetic moment is 0.00 μB/f.u.

Structure (extended XYZ):
```
6
Lattice="-1.666 2.794 -2.199 -1.851 -1.355 3.187 4.277 6.770 5.364" Properties=species:S:1:pos:R:3 pbc="T T T"
Dy 0.000 0.000 0.000
Gd -0.303 3.667 1.383
Gd 1.062 4.543 4.968
S -1.091 1.134 2.268
S 2.138 3.385 2.682
S 1.850 7.075 4.084
```

=====

# 17
GdDySb | PBE | optimized geometry

The distance to the lowest polymorph of the same formula comes out at 0 meV per atom. The value obtained for the total magnetic moment is 0.03 μB/f.u.

Structure (extended XYZ):
```
3
Lattice="0.000 3.597 3.597 3.597 0.000 3.597 3.597 3.597 0.000" Properties=species:S:1:pos:R:3 pbc="T T T"
Dy 1.799 1.799 1.799
Gd 5.396 5.396 5.396
Sb 0.000 0.000 0.000
```

=====

# 18
GdDy2Sb3 | PBE | optimized geometry

The calculated total energy is -33.080 eV/cell. The value obtained for the total magnetic moment is 0.00 μB/f.u.

Structure (extended XYZ):
```
6
Lattice="-3.120 -1.433 2.738 -0.703 -0.024 -4.335 4.041 -9.944 -0.601" Properties=species:S:1:pos:R:3 pbc="T T T"
Dy -0.837 -2.147 -2.077
Dy 1.055 -9.254 -0.120
Gd 2.021 -4.972 -0.300
Sb 0.000 0.000 0.000
Sb -0.975 -4.259 0.182
Sb 1.194 -7.142 -2.379
```

=====

# 19
GdDySc2Sb2 | PBE | optimized geometry

The calculated total energy is -35.199 eV/cell. The value obtained for the total magnetic moment is 0.97 μB/f.u.

Structure (extended XYZ):
```
6
Lattice="-3.431 5.102 6.183 -7.635 3.765 1.886 4.696 -6.931 -2.439" Properties=species:S:1:pos:R:3 pbc="T T T"
Dy -3.589 2.876 2.617
Gd -7.485 5.998 5.458
Sb -1.450 1.162 1.057
Sb -9.616 7.706 7.012
Sc -4.896 3.516 5.904
Sc -6.998 2.847 3.755
```

=====

# 20
GdDySb2Te2 | PBE | optimized geometry

The calculated total energy is -30.451 eV/cell. The value obtained for the total magnetic moment is 0.00 μB/f.u.

Structure (extended XYZ):
```
6
Lattice="4.289 0.000 0.000 0.000 4.289 0.000 0.000 0.000 9.277" Properties=species:S:1:pos:R:3 pbc="T T T"
Dy 0.000 0.000 2.552
Gd 2.145 2.145 6.731
Sb 2.145 0.000 0.009
Sb 0.000 2.145 0.009
Te 2.145 2.145 3.473
Te 0.000 0.000 5.780
```